The following is a DFT calculation (PBE) of a geometry-optimized SmDy2Th4 structure.

Output
Crystal system: tetragonal
Space-group type: P4_2/mnm, No. 136

Cell: 9.3366 9.3366 5.5396 Å, 90.00 90.00 90.00°
Element x y z (fractional)
Sm  0.0000  0.0000  0.0000
Sm  0.5000  0.5000  0.5000
Dy  0.1842  0.1842  0.5000
Dy  0.3158  0.6842  0.0000
Dy  0.6842  0.3158  0.0000
Dy  0.8158  0.8158  0.5000
Th  0.1214  0.6241  0.5000
Th  0.1241  0.3786  0.0000
Th  0.3759  0.8786  0.5000
Th  0.3786  0.1241  0.0000
Th  0.6214  0.8759  0.0000
Th  0.6241  0.1214  0.5000
Th  0.8759  0.6214  0.0000
Th  0.8786  0.3759  0.5000


The following is a DFT calculation (PBE) of a geometry-optimized Sm7Dy2Th3 structure.

Output
Crystal system: trigonal
Space-group type: R-3m, No. 166

Cell: 11.8171 11.8171 11.8171 Å, 31.84 31.84 31.84°
Element x y z (fractional)
Sm  0.0000  0.0000  0.0000
Sm  0.0889  0.0890  0.5772
Sm  0.0889  0.5772  0.0889
Sm  0.4228  0.9111  0.9110
Sm  0.5772  0.0890  0.0890
Sm  0.9110  0.4228  0.9110
Sm  0.9110  0.9110  0.4228
Dy  0.1657  0.1657  0.1657
Dy  0.8343  0.8343  0.8343
Th  0.3474  0.3474  0.3474
Th  0.5000  0.5000  0.5000
Th  0.6526  0.6526  0.6526


The following is a DFT calculation (PBE) of a geometry-optimized Sm3Dy3Th structure.

Output
Crystal system: hexagonal
ΔE to the lowest computed polymorph, meV per atom: 0
Space-group type: P6_3/m, No. 176

Cell: 9.6410 9.6410 5.7449 Å, 90.00 90.00 120.00°
Element x y z (fractional)
Sm  0.0566  0.2450  0.2500
Sm  0.1884  0.9434  0.2500
Sm  0.2450  0.1884  0.7500
Sm  0.7550  0.8116  0.2500
Sm  0.8116  0.0566  0.7500
Sm  0.9434  0.7550  0.7500
Dy  0.0951  0.4810  0.7500
Dy  0.3860  0.9049  0.7500
Dy  0.4810  0.3860  0.2500
Dy  0.5190  0.6140  0.7500
Dy  0.6140  0.0951  0.2500
Dy  0.9049  0.5190  0.2500
Th  0.3333  0.6667  0.2500
Th  0.6667  0.3333  0.7500


The following is a DFT calculation (PBE) of a geometry-optimized SmDyTh structure.

Output
Crystal system: tetragonal
ΔE to the lowest computed polymorph, meV per atom: 5
Space-group type: I4mm, No. 107

Cell: 7.9661 7.9661 7.9661 Å, 153.88 153.88 37.28°
Element x y z (fractional)
Sm  0.0000  0.0000  0.0000
Dy  0.3201  0.3201  0.0000
Th  0.6618  0.6618  0.0000


The following is a DFT calculation (PBE) of a geometry-optimized Sm12Dy3Th structure.

Output
Crystal system: tetragonal
Space-group type: P4/mmm, No. 123

Cell: 5.1056 5.1056 20.4052 Å, 90.00 90.00 90.00°
Element x y z (fractional)
Sm  0.0000  0.0000  0.0000
Sm  0.0000  0.0000  0.2482
Sm  0.0000  0.0000  0.5000
Sm  0.0000  0.0000  0.7518
Sm  0.0000  0.5000  0.1252
Sm  0.0000  0.5000  0.3763
Sm  0.0000  0.5000  0.6237
Sm  0.0000  0.5000  0.8748
Sm  0.5000  0.0000  0.1252
Sm  0.5000  0.0000  0.3763
Sm  0.5000  0.0000  0.6237
Sm  0.5000  0.0000  0.8748
Dy  0.5000  0.5000  0.0000
Dy  0.5000  0.5000  0.2499
Dy  0.5000  0.5000  0.7501
Th  0.5000  0.5000  0.5000


The following is a DFT calculation (PBE) of a geometry-optimized SmDy4Th structure.

Output
Crystal system: monoclinic
ΔE to the lowest computed polymorph, meV per atom: 139
Space-group type: C2/c, No. 15

Cell: 8.5065 8.5065 6.6304 Å, 100.29 100.29 117.51°
Element x y z (fractional)
Sm  0.0882  0.9118  0.7500
Sm  0.9118  0.0882  0.2500
Dy  0.0754  0.3301  0.8747
Dy  0.2154  0.6008  0.4658
Dy  0.3301  0.0754  0.3747
Dy  0.3992  0.7846  0.0342
Dy  0.6008  0.2154  0.9658
Dy  0.6699  0.9246  0.6253
Dy  0.7846  0.3992  0.5342
Dy  0.9246  0.6699  0.1253
Th  0.4994  0.5006  0.2500
Th  0.5006  0.4994  0.7500


The following is a DFT calculation (PBE) of a geometry-optimized Sm2Dy7Th4 structure.

Output
Crystal system: trigonal
Space-group type: P-31m, No. 162

Cell: 6.0790 6.0790 13.3457 Å, 90.00 90.00 120.00°
Element x y z (fractional)
Sm  0.3333  0.6667  0.0000
Sm  0.6667  0.3333  0.0000
Dy  0.0000  0.0000  0.0000
Dy  0.0000  0.3620  0.2167
Dy  0.0000  0.6380  0.7833
Dy  0.3620  0.0000  0.2167
Dy  0.3620  0.3620  0.7833
Dy  0.6380  0.0000  0.7833
Dy  0.6380  0.6380  0.2167
Th  0.0000  0.0000  0.3902
Th  0.0000  0.0000  0.6098
Th  0.3333  0.6667  0.5000
Th  0.6667  0.3333  0.5000


The following is a DFT calculation (PBE) of a geometry-optimized Sm2Dy4Th5 structure.

Output
Crystal system: monoclinic
Space-group type: P2/m, No. 10

Cell: 8.8216 3.4723 11.7089 Å, 90.00 94.32 90.00°
Element x y z (fractional)
Sm  0.0557  0.0000  0.1359
Sm  0.9443  0.0000  0.8641
Dy  0.1594  0.5000  0.4041
Dy  0.3019  0.5000  0.9455
Dy  0.6981  0.5000  0.0545
Dy  0.8406  0.5000  0.5959
Th  0.2044  0.0000  0.6749
Th  0.4234  0.0000  0.2126
Th  0.5000  0.0000  0.5000
Th  0.5766  0.0000  0.7874
Th  0.7956  0.0000  0.3251


The following is a DFT calculation (PBE) of a geometry-optimized Sm3Dy6Th2 structure.

Output
Crystal system: trigonal
Space-group type: R-3m, No. 166

Cell: 31.9618 31.9618 31.9618 Å, 6.42 6.42 6.42°
Element x y z (fractional)
Sm  0.0000  0.0000  0.0000
Sm  0.2724  0.2724  0.2724
Sm  0.7276  0.7276  0.7276
Dy  0.0921  0.0921  0.0921
Dy  0.1823  0.1823  0.1823
Dy  0.3639  0.3639  0.3639
Dy  0.6361  0.6361  0.6361
Dy  0.8177  0.8177  0.8177
Dy  0.9079  0.9079  0.9079
Th  0.4550  0.4550  0.4550
Th  0.5450  0.5450  0.5450


The following is a DFT calculation (PBE) of a geometry-optimized Sm4Dy8Th structure.

Output
Crystal system: trigonal
Space-group type: R-3m, No. 166

Cell: 7.7866 7.7866 7.7866 Å, 90.09 90.09 90.09°
Element x y z (fractional)
Sm  0.0000  0.0000  0.0000
Sm  0.0000  0.5000  0.5000
Sm  0.5000  0.0000  0.5000
Sm  0.5000  0.5000  0.0000
Dy  0.2405  0.2405  0.7584
Dy  0.2405  0.7584  0.2405
Dy  0.2408  0.2408  0.2408
Dy  0.2416  0.7595  0.7595
Dy  0.7584  0.2405  0.2405
Dy  0.7592  0.7592  0.7592
Dy  0.7595  0.2416  0.7595
Dy  0.7595  0.7595  0.2416
Th  0.5000  0.5000  0.5000


The following is a DFT calculation (PBE) of a geometry-optimized Sm2DyTh structure.

Output
Crystal system: tetragonal
ΔE to the lowest computed polymorph, meV per atom: 19
Space-group type: P4/mmm, No. 123

Cell: 3.5975 3.5975 10.1751 Å, 90.00 90.00 90.00°
Element x y z (fractional)
Sm  0.0000  0.0000  0.2439
Sm  0.0000  0.0000  0.7561
Dy  0.5000  0.5000  0.5000
Th  0.5000  0.5000  0.0000


The following is a DFT calculation (PBE) of a geometry-optimized Sm4DyTh structure.

Output
Crystal system: monoclinic
ΔE to the lowest computed polymorph, meV per atom: 0
Space-group type: C2/m, No. 12

Cell: 6.2567 6.2567 7.1829 Å, 106.79 106.79 48.32°
Element x y z (fractional)
Sm  0.1626  0.1626  0.3270
Sm  0.1650  0.1650  0.8371
Sm  0.8350  0.8350  0.1629
Sm  0.8374  0.8374  0.6730
Dy  0.5000  0.5000  0.5000
Th  0.5000  0.5000  0.0000


Looking at energy of formation from the pure elements for the records above, in order, we have 0.31; 0.37; 0.04; 0.03; 0.03; 0.16; 0.22; 0.13; 0.02; 0.51; 0.04; 0.04 eV/atom.